Run P
This record from the Alexandria database describes a relaxed structure of Ce4ThSn2. The functional is PBE.

a = 11.187 Å, b = 11.187 Å, c = 11.187 Å
α = 158.41°, β = 158.41°, γ = 30.72°
Positions (direct):
Ce 0.150 0.150 0.000
Ce 0.250 0.750 0.500
Ce 0.750 0.250 0.500
Ce 0.850 0.850 0.000
Th 0.000 0.000 0.000
Sn 0.422 0.422 0.000
Sn 0.578 0.578 0.000

Properties
DOS at the Fermi energy   15.77 states/eV/f.u.



Run Q
This record from the Alexandria database describes a relaxed structure of Ce4ThSn2. The functional is PBE.

a = 7.846 Å, b = 6.544 Å, c = 6.207 Å
α = 75.90°, β = 53.99°, γ = 50.11°
Positions (direct):
Ce 0.000 0.000 0.500
Ce 0.250 0.250 0.250
Ce 0.500 0.500 0.000
Ce 0.750 0.750 0.750
Th 0.000 0.000 0.000
Sn 0.363 0.363 0.637
Sn 0.637 0.637 0.363

Properties
DOS at the Fermi energy   18.39 states/eV/f.u.



Which one sits at the top of the stability order? run Q does.



Run P
This record from the Alexandria database describes a relaxed structure of CeThTlSn. The functional is PBE.

a = 4.534 Å, b = 4.997 Å, c = 5.030 Å
α = 90.00°, β = 90.00°, γ = 90.00°
Positions (direct):
Ce 0.000 0.000 0.000
Th 0.000 0.500 0.500
Tl 0.500 0.500 0.000
Sn 0.500 0.000 0.500

Properties
DOS at the Fermi energy   7.47 states/eV/f.u.



Run Q
This record from the Alexandria database describes a relaxed structure of CeThTlSn. The functional is PBE.

a = 5.493 Å, b = 5.493 Å, c = 5.493 Å
α = 60.00°, β = 60.00°, γ = 60.00°
Positions (direct):
Ce 0.000 0.000 0.000
Th 0.500 0.500 0.500
Tl 0.250 0.250 0.250
Sn 0.750 0.750 0.750

Properties
DOS at the Fermi energy   8.81 states/eV/f.u.



Which one sits at the top of the stability order? run P does.



Run P
This record from the Alexandria database describes a relaxed structure of CeTi2Sn. The functional is PBE.

a = 4.595 Å, b = 4.595 Å, c = 3.867 Å
α = 90.00°, β = 90.00°, γ = 90.00°
Positions (direct):
Ce 0.000 0.000 0.000
Ti 0.000 0.500 0.500
Ti 0.500 0.000 0.500
Sn 0.500 0.500 0.000

Properties
DOS at the Fermi energy   6.36 states/eV/f.u.



Run Q
This record from the Alexandria database describes a relaxed structure of CeTi2Sn. The functional is PBE.

a = 4.845 Å, b = 4.845 Å, c = 4.845 Å
α = 60.00°, β = 60.00°, γ = 60.00°
Positions (direct):
Ce 0.000 0.000 0.000
Ti 0.250 0.250 0.250
Ti 0.750 0.750 0.750
Sn 0.500 0.500 0.500

Properties
DOS at the Fermi energy   8.97 states/eV/f.u.



Which one sits at the top of the stability order? run P does.



Run P
This record from the Alexandria database describes a relaxed structure of Ce4Tl2Sn. The functional is PBE.

a = 6.586 Å, b = 6.586 Å, c = 6.271 Å
α = 90.00°, β = 90.00°, γ = 123.37°
Positions (direct):
Ce 0.117 0.883 0.000
Ce 0.349 0.651 0.500
Ce 0.651 0.349 0.500
Ce 0.883 0.117 0.000
Tl 0.377 0.623 0.000
Tl 0.623 0.377 0.000
Sn 0.000 0.000 0.500

Properties
DOS at the Fermi energy   21.93 states/eV/f.u.



Run Q
This record from the Alexandria database describes a relaxed structure of Ce4Tl2Sn. The functional is PBE.

a = 5.721 Å, b = 5.721 Å, c = 9.976 Å
α = 116.80°, β = 116.80°, γ = 49.63°
Positions (direct):
Ce 0.098 0.098 0.374
Ce 0.368 0.368 0.129
Ce 0.632 0.632 0.871
Ce 0.902 0.902 0.626
Tl 0.267 0.267 0.749
Tl 0.733 0.733 0.251
Sn 0.000 0.000 0.000

Properties
DOS at the Fermi energy   26.07 states/eV/f.u.



Which one sits at the top of the stability order? run Q does.